(1)
SrTcRu2: optimized geometry, GGA-PBEsol.

total energy: -7.278 eV/atom
offset from the most stable computed form: 0.5638 eV per atom
total magnetic moment: 0.0019 μB/atom
density: 9.79 g/cm3
space-group type: Pmmm, No. 47

a b c (Å): 2.954 4.636 4.804
angles (deg): 90.00 90.00 90.00
Fractional positions:
Sr (0.000, 0.000, 0.000)
Tc (0.500, 0.000, 0.500)
Ru (0.000, 0.500, 0.500)
Ru (0.500, 0.500, 0.000)

(2)
Al2Co2Ag: optimized geometry, GGA-PBEsol.

total energy: -5.616 eV/atom
offset from the most stable computed form: 0.0000 eV per atom
total magnetic moment: 0.0029 μB/atom
density: 7.22 g/cm3
space-group type: P4/mbm, No. 127

a b c (Å): 6.861 6.861 2.733
angles (deg): 90.00 90.00 90.00
Fractional positions:
Al (0.167, 0.333, 0.000)
Al (0.333, 0.833, 0.000)
Al (0.667, 0.167, 0.000)
Al (0.833, 0.667, 0.000)
Co (0.128, 0.628, 0.500)
Co (0.372, 0.128, 0.500)
Co (0.628, 0.872, 0.500)
Co (0.872, 0.372, 0.500)
Ag (0.000, 0.000, 0.500)
Ag (0.500, 0.500, 0.500)

(3)
Ca2SbPO: optimized geometry, GGA-PBEsol.

total energy: -5.138 eV/atom
formation energy from raw total energies: -5.8 eV/f.u.
total magnetic moment: 0.0000 μB/atom
density: 4.20 g/cm3
space-group type: P4/mmm, No. 123

a b c (Å): 4.859 4.859 4.163
angles (deg): 90.00 90.00 90.00
Fractional positions:
Ca (0.000, 0.500, 0.000)
Ca (0.500, 0.000, 0.000)
Sb (0.000, 0.000, 0.500)
P (0.500, 0.500, 0.500)
O (0.500, 0.500, 0.000)

Q: Look up the total energy of the first one.
A: -7.278 eV/atom

Q: Among the records above, which one has the highest total energy?
A: Ca2SbPO